VASP calculation (PBE) on a relaxed structure of Zr3Te2.

Symmetry: P-3m1, No. 164
Volume, Å³ per cell: 124.10
ΔE_f (raw), kJ/mol of atoms: -34.6

Structure (extended XYZ):
```
5
Lattice="3.925 2.693 0.215 -4.074 1.853 -1.633 -1.540 1.776 5.858" Properties=species:S:1:pos:R:3 pbc="T T T"
Zr 0.000 0.000 0.000
Zr 0.240 3.587 3.472
Zr -1.930 2.735 0.969
Te 0.957 2.761 0.746
Te -2.646 3.562 3.694
```

VASP calculation (PBE) on a relaxed structure of Zr3Te2.

Symmetry: Pnma, No. 62
Volume, Å³ per cell: 463.82
ΔE_f (raw), kJ/mol of atoms: -59.9

Structure (extended XYZ):
```
20
Lattice="4.893 0.000 0.000 0.000 5.904 0.000 0.000 0.000 16.057" Properties=species:S:1:pos:R:3 pbc="T T T"
Zr 3.670 5.676 5.936
Zr 3.670 2.724 2.092
Zr 1.223 0.228 10.121
Zr 1.223 3.180 13.964
Zr 3.670 4.508 12.375
Zr 3.670 1.556 11.710
Zr 1.223 1.395 3.682
Zr 1.223 4.347 4.347
Zr 3.670 4.324 9.299
Zr 3.670 1.372 14.786
Zr 1.223 1.580 6.758
Zr 1.223 4.532 1.270
Te 3.670 1.342 8.617
Te 3.670 4.294 15.468
Te 1.223 4.562 7.440
Te 1.223 1.610 0.588
Te 3.670 5.575 2.940
Te 3.670 2.623 5.088
Te 1.223 0.329 13.116
Te 1.223 3.281 10.969
```

VASP calculation (PBE) on a relaxed structure of Zr3Te5.

Symmetry: Cm, No. 8
Volume, Å³ per cell: 422.63
ΔE_f (raw), kJ/mol of atoms: -64.6
Energy relative to the lowest polymorph listed for this composition, meV per atom: 0

Structure (extended XYZ):
```
16
Lattice="-3.240 -7.988 0.442 7.220 3.772 2.854 -5.654 3.968 5.169" Properties=species:S:1:pos:R:3 pbc="T T T"
Te 1.585 3.026 4.669
Te -3.647 -2.852 3.467
Te -6.736 -2.774 5.171
Te 5.403 2.175 3.573
Te 0.406 -2.549 3.567
Te -1.740 1.951 5.181
Te -4.485 -0.244 5.690
Te 3.153 -0.355 3.053
Te -0.167 1.153 2.246
Te -1.168 -1.752 6.502
Zr 3.184 -3.366 2.636
Zr 1.192 -1.260 0.987
Zr -3.034 0.318 2.932
Zr 0.686 0.155 4.979
Zr -0.774 4.849 6.013
Zr -1.569 -4.376 1.882
```

VASP calculation (PBE) on a relaxed structure of Zr2Te.

Symmetry: Pa-3, No. 205
Volume, Å³ per cell: 313.42
ΔE_f (raw), kJ/mol of atoms: -13.4

Structure (extended XYZ):
```
12
Lattice="6.793 0.000 0.000 0.000 6.793 0.000 0.000 0.000 6.793" Properties=species:S:1:pos:R:3 pbc="T T T"
Te 0.000 0.000 0.000
Te 3.396 3.396 0.000
Te 3.396 0.000 3.396
Te 0.000 3.396 3.396
Zr 4.308 4.308 2.485
Zr 2.485 2.485 4.308
Zr 0.912 5.881 4.308
Zr 5.881 0.912 2.485
Zr 2.485 0.912 0.912
Zr 4.308 5.881 5.881
Zr 5.881 2.485 5.881
Zr 0.912 4.308 0.912
```

VASP calculation (PBE) on a relaxed structure of Zr2Te3.

Symmetry: R-3, No. 148
Volume, Å³ per cell: 287.15
ΔE_f (raw), kJ/mol of atoms: -87.0

Structure (extended XYZ):
```
10
Lattice="-2.045 4.679 6.046 -7.037 3.357 1.355 -5.078 -1.601 5.854" Properties=species:S:1:pos:R:3 pbc="T T T"
Zr -7.080 3.217 6.628
Zr -2.275 1.034 2.129
Zr -11.885 5.401 11.126
Zr 0.000 0.000 0.000
Te -7.751 2.098 9.235
Te -7.279 5.817 7.933
Te -9.960 3.441 6.224
Te -4.201 2.994 7.031
Te -6.881 0.617 5.322
Te -6.409 4.337 4.020
```

VASP calculation (PBE) on a relaxed structure of ZrTe3.

Symmetry: P6_3/mmc, No. 194
Volume, Å³ per cell: 267.12
ΔE_f (raw), kJ/mol of atoms: -36.9

Structure (extended XYZ):
```
8
Lattice="1.928 8.566 -2.214 -6.332 -4.551 -4.603 -2.623 1.213 2.409" Properties=species:S:1:pos:R:3 pbc="T T T"
Zr -4.235 0.125 -3.205
Zr -2.792 5.103 -1.204
Te -3.007 4.421 -4.031
Te -1.129 2.709 -1.125
Te -0.307 6.361 -2.069
Te -4.020 0.807 -0.377
Te -5.898 2.519 -3.284
Te -6.720 -1.133 -2.340
```

VASP calculation (PBE) on a relaxed structure of Zr5Te2.

Symmetry: C2/c, No. 15
Volume, Å³ per cell: 328.20
ΔE_f (raw), kJ/mol of atoms: -39.6

Structure (extended XYZ):
```
14
Lattice="-3.038 -4.397 -2.133 3.118 -4.497 4.826 -4.403 3.958 5.874" Properties=species:S:1:pos:R:3 pbc="T T T"
Zr -0.189 -2.201 2.770
Zr -3.452 2.758 4.959
Zr -0.604 -1.720 6.238
Zr -1.443 -4.425 5.247
Zr -3.719 -3.215 2.330
Zr -2.881 -0.510 3.321
Zr -0.871 -7.693 3.609
Zr -4.135 -2.734 5.798
Zr -1.240 -4.047 -0.212
Zr 1.320 -4.846 2.905
Te -2.829 0.149 6.143
Te -2.106 -1.464 0.677
Te -1.495 -5.084 2.425
Te -2.218 -3.471 7.890
```

VASP calculation (PBE) on a relaxed structure of ZrTe3.

Symmetry: P4/mmm, No. 123
Volume, Å³ per cell: 103.86
ΔE_f (raw), kJ/mol of atoms: -36.8

Structure (extended XYZ):
```
4
Lattice="3.720 0.000 0.000 0.000 3.720 0.000 0.000 0.000 7.505" Properties=species:S:1:pos:R:3 pbc="T T T"
Te 0.000 0.000 7.222
Te 1.860 1.860 1.876
Te 0.000 0.000 4.036
Zr 1.860 1.860 5.629
```

VASP calculation (PBE) on a relaxed structure of Zr2Te.

Symmetry: P6/mmm, No. 191
Volume, Å³ per cell: 69.93
ΔE_f (raw), kJ/mol of atoms: 21.2

Structure (extended XYZ):
```
3
Lattice="2.463 -4.266 0.000 2.463 4.266 0.000 0.000 0.000 3.327" Properties=species:S:1:pos:R:3 pbc="T T T"
Zr 2.463 -1.422 0.000
Zr 2.463 1.422 0.000
Te 0.000 0.000 1.664
```

VASP calculation (PBE) on a relaxed structure of Zr2Te.

Symmetry: Fm-3m, No. 225
Volume, Å³ per cell: 76.38
ΔE_f (raw), kJ/mol of atoms: -15.8

Structure (extended XYZ):
```
3
Lattice="-4.559 -0.513 -1.278 -2.920 -2.696 2.624 -3.441 2.037 2.586" Properties=species:S:1:pos:R:3 pbc="T T T"
Te 0.000 0.000 0.000
Zr -8.190 -0.879 2.949
Zr -2.730 -0.293 0.983
```

VASP calculation (PBE) on a relaxed structure of Zr2Te.

Symmetry: Cmmm, No. 65
Volume, Å³ per cell: 134.40
ΔE_f (raw), kJ/mol of atoms: -45.5

Structure (extended XYZ):
```
6
Lattice="-0.703 3.215 -2.108 0.892 -2.430 -4.004 -7.413 -0.602 1.553" Properties=species:S:1:pos:R:3 pbc="T T T"
Zr -0.351 1.608 -1.054
Zr -4.918 0.417 -1.348
Zr 0.446 -1.215 -2.002
Zr -2.305 -0.233 -3.210
Te -4.377 -2.473 -2.313
Te -2.144 -0.559 -0.138
```

VASP calculation (PBE) on a relaxed structure of ZrTe3.

Symmetry: Cmmm, No. 65
Volume, Å³ per cell: 110.01
ΔE_f (raw), kJ/mol of atoms: 2.4

Structure (extended XYZ):
```
4
Lattice="-5.424 -1.827 1.207 3.848 0.874 4.318 -1.127 3.537 0.289" Properties=species:S:1:pos:R:3 pbc="T T T"
Te 1.360 2.205 2.303
Te -3.276 0.855 0.748
Te -0.788 -0.477 2.763
Zr 0.000 0.000 0.000
```